Crystalline Sr2CaIr at its relaxed geometry. Source: the Alexandria database, functional PBE.

## Properties
- Calculated density: 5.72 g/cm3
- ΔE to the lowest computed polymorph: 0.403 eV per atom
- Space-group type: Fm-3m
- M_tot: 0.0 Bohr magnetons per cell
- E_form: 17 kJ/mol of atoms

a = 7.791 Å, b = 7.791 Å, c = 7.791 Å
α = 90.00°, β = 90.00°, γ = 90.00°
Atoms (fractional coordinates):
Sr  0.250  0.250  0.250
Sr  0.250  0.250  0.750
Sr  0.250  0.750  0.250
Sr  0.250  0.750  0.750
Sr  0.750  0.250  0.250
Sr  0.750  0.250  0.750
Sr  0.750  0.750  0.250
Sr  0.750  0.750  0.750
Ca  0.000  0.000  0.000
Ca  0.000  0.500  0.500
Ca  0.500  0.000  0.500
Ca  0.500  0.500  0.000
Ir  0.000  0.000  0.500
Ir  0.000  0.500  0.000
Ir  0.500  0.000  0.000
Ir  0.500  0.500  0.500

---

Crystalline AcNd2Ga6 at its relaxed geometry. Source: the Alexandria database, functional PBE.

## Properties
- Calculated density: 7.18 g/cm3
- ΔE to the lowest computed polymorph: 0.000 eV per atom
- Space-group type: P6/mmm
- M_tot: 0.0 Bohr magnetons per cell
- E_form: -63 kJ/mol of atoms

a = 7.477 Å, b = 7.477 Å, c = 4.461 Å
α = 90.00°, β = 90.00°, γ = 120.00°
Atoms (fractional coordinates):
Ac  0.000  0.000  0.000
Nd  0.333  0.667  0.000
Nd  0.667  0.333  0.000
Ga  0.000  0.337  0.500
Ga  0.000  0.663  0.500
Ga  0.337  0.000  0.500
Ga  0.337  0.337  0.500
Ga  0.663  0.000  0.500
Ga  0.663  0.663  0.500

---

Crystalline SrCdRe at its relaxed geometry. Source: the Alexandria database, functional PBE.

## Properties
- Calculated density: 8.78 g/cm3
- ΔE to the lowest computed polymorph: 0.074 eV per atom
- Space-group type: I4mm
- M_tot: 0.3 Bohr magnetons per cell
- E_form: 85 kJ/mol of atoms

a = 3.612 Å, b = 3.612 Å, c = 11.193 Å
α = 90.00°, β = 90.00°, γ = 90.00°
Atoms (fractional coordinates):
Sr  0.000  0.000  0.000
Sr  0.500  0.500  0.500
Cd  0.000  0.000  0.287
Cd  0.500  0.500  0.787
Re  0.000  0.000  0.693
Re  0.500  0.500  0.193

---

Crystalline MnFeSiGe at its relaxed geometry. Source: the Alexandria database, functional PBE.

## Properties
- Calculated density: 7.64 g/cm3
- ΔE to the lowest computed polymorph: 0.006 eV per atom
- Formation energy (no corrections): -0.6 eV/f.u.
- Space-group type: F-43m
- M_tot: 2.4 Bohr magnetons per cell

a = 5.688 Å, b = 5.688 Å, c = 5.688 Å
α = 90.00°, β = 90.00°, γ = 90.00°
Atoms (fractional coordinates):
Mn  0.000  0.000  0.000
Mn  0.000  0.500  0.500
Mn  0.500  0.000  0.500
Mn  0.500  0.500  0.000
Fe  0.000  0.000  0.500
Fe  0.000  0.500  0.000
Fe  0.500  0.000  0.000
Fe  0.500  0.500  0.500
Si  0.250  0.250  0.250
Si  0.250  0.750  0.750
Si  0.750  0.250  0.750
Si  0.750  0.750  0.250
Ge  0.250  0.250  0.750
Ge  0.250  0.750  0.250
Ge  0.750  0.250  0.250
Ge  0.750  0.750  0.750